1.
A relaxed GaSn2BrCl crystal, computed with GGA-PBE.

Values from the calculation:
- DOS at the Fermi energy: 3.56 states/eV/cell
- Energy relative to the elements, uncorrected: 116.3 kJ/mol of formula units
- Final energy: -13.35 eV per cell
- Magnetic moment: 0.0 μB/cell

Cell lengths 5.307, 5.307, 6.490 Å; angles 90.00, 90.00, 90.00 degrees
Space group P4/mmm (No. 123)
Asymmetric unit:
Ga: 0.000 0.000 0.000
Sn: 0.000 0.500 0.500
Br: 0.500 0.500 0.000
Cl: 0.500 0.500 0.500


2.
A relaxed Ti5Tc6W crystal, computed with GGA-PBE.

Values from the calculation:
- DOS at the Fermi energy: 15.81 states/eV/cell
- Final energy: -240.75 eV per cell
- ΔE_f: -0.48 eV per atom
- Magnetic moment: 0.0 μB/cell

Cell lengths 4.394, 6.223, 13.201 Å; angles 90.00, 90.00, 90.00 degrees
Space group Immm (No. 71)
Asymmetric unit:
Ti: 0.000 0.000 0.000
Ti: 0.000 0.000 0.332
Ti: 0.000 0.500 0.333
Tc: 0.000 0.248 0.500
Tc: 0.000 0.251 0.166
W: 0.000 0.500 0.000